Entry from Alexandria via LeMat-Bulk: a relaxed ZnFeRuC2 crystal (GGA-PBEsol).

The structure in POSCAR format:
```
ZnFeRuC2
1.0
3.590 0.000 0.000
0.000 3.590 0.000
0.000 0.000 4.593
Zn Fe Ru C
1 1 1 2
Direct
0.000 0.000 0.000
0.000 0.000 0.500
0.500 0.500 0.000
0.000 0.500 0.500
0.500 0.000 0.500
```

Its volume is 11.839 Å³ per atom. Its total energy is -6.400 eV/atom. The crystal system is tetragonal.